1.
# PBE-GGA Pm16Y6Tm7, optimized geometry
data_Pm16Y6Tm7
_cell_length_a 15.882
_cell_length_b 15.882
_cell_length_c 15.882
_cell_angle_alpha 90.00
_cell_angle_beta 90.00
_cell_angle_gamma 90.00
_space_group_name_H-M_alt 'F m -3 m'
_space_group_IT_number 225
_space_group_name_Hall '-F 4 2 3'
loop_
_atom_site_label
_atom_site_fract_x
_atom_site_fract_y
_atom_site_fract_z
_atom_site_occupancy
Pm1 0.123 0.123 0.123 1
Pm2 0.151 0.151 0.349 1
Y1 0.000 0.000 0.274 1
Tm1 0.000 0.000 0.000 1
Tm2 0.000 0.250 0.250 1
# - M_tot: 0.00 μB/cell

***

2.
# PBE-GGA Tb4CdNi, optimized geometry
data_Tb4CdNi
_cell_length_a 13.558
_cell_length_b 13.558
_cell_length_c 13.558
_cell_angle_alpha 90.00
_cell_angle_beta 90.00
_cell_angle_gamma 90.00
_space_group_name_H-M_alt 'F -4 3 m'
_space_group_IT_number 216
_space_group_name_Hall 'F -4 2 3'
loop_
_atom_site_label
_atom_site_fract_x
_atom_site_fract_y
_atom_site_fract_z
_atom_site_occupancy
Tb1 0.000 0.000 0.186 1
Tb2 0.061 0.250 0.750 1
Tb3 0.098 0.098 0.402 1
Cd1 0.169 0.169 0.169 1
Ni1 0.108 0.108 0.608 1
# - M_tot: 0.00 μB/cell
# - Excess energy over the best structure of this formula in the dataset: 0.000 eV per atom

***

Number 1: DFT total energy -4.841 eV per atom. Number 2: DFT total energy -4.496 eV per atom.